Entry 1:
Here is SmDy3Ho6Tm2 after structural relaxation from Alexandria. Energies are from PBE-GGA.

```
data_SmDy3Ho6Tm2
_chemical_formula_sum 'Sm2 Dy6 Ho12 Tm4'
_symmetry_space_group_name_H-M 'C 1 2/m 1'
_symmetry_Int_Tables_number 12
_cell_length_a 6.115
_cell_length_b 10.580
_cell_length_c 11.701
_cell_angle_alpha 90.00
_cell_angle_beta 99.97
_cell_angle_gamma 90.00
loop_
_symmetry_equiv_pos_as_xyz
'x,y,z'
'-x,-y,-z'
'-x,y,-z'
'x,-y,z'
'x+1/2,y+1/2,z'
'-x+1/2,-y+1/2,-z'
'-x+1/2,y+1/2,-z'
'x+1/2,-y+1/2,z'
loop_
_atom_site_label
_atom_site_fract_x
_atom_site_fract_y
_atom_site_fract_z
Sm1 0.000 0.000 0.000
Dy1 0.000 0.167 0.500
Dy2 0.000 0.500 0.500
Ho1 0.249 0.333 0.750
Ho2 0.250 0.000 0.750
Tm1 0.000 0.333 0.000
```

## Properties
* DFT total energy: -109.4 eV/cell
* V: 31.06 Å³ per atom
* DOS(E_F): 1.31 states/eV/atom

=====

Entry 2:
Here is Tb7Y12Cd after structural relaxation from Alexandria. Energies are from PBE-GGA.

```
data_Tb7Y12Cd
_chemical_formula_sum 'Tb21 Y36 Cd3'
_symmetry_space_group_name_H-M 'R -3 m'
_symmetry_Int_Tables_number 166
_symmetry_space_group_name_Hall '-R 3 2"'
_cell_length_a 13.4424
_cell_length_b 13.4424
_cell_length_c 12.1923
_cell_angle_alpha 90.00
_cell_angle_beta 90.00
_cell_angle_gamma 120.00
loop_
_atom_site_label
_atom_site_fract_x
_atom_site_fract_y
_atom_site_fract_z
Tb1 0.0000 0.0000 0.0000
Tb2 0.0525 0.5262 0.1205
Y1 0.0000 0.2606 0.0000
Y2 0.0876 0.1752 0.7590
Cd1 0.0000 0.0000 0.5000
```

## Properties
* DFT total energy: -329.7 eV/cell
* V: 31.80 Å³ per atom
* DOS(E_F): 1.80 states/eV/atom

=====

Entry 3:
Here is Ca5PuN4 after structural relaxation from Alexandria. Energies are from PBE-GGA.

```
data_Ca5PuN4
_chemical_formula_sum 'Ca10 Pu2 N8'
_symmetry_space_group_name_H-M 'C 1 2/m 1'
_symmetry_Int_Tables_number 12
_cell_length_a 15.366
_cell_length_b 3.547
_cell_length_c 7.201
_cell_angle_alpha 90.00
_cell_angle_beta 102.32
_cell_angle_gamma 90.00
loop_
_symmetry_equiv_pos_as_xyz
'x,y,z'
'-x,-y,-z'
'-x,y,-z'
'x,-y,z'
'x+1/2,y+1/2,z'
'-x+1/2,-y+1/2,-z'
'-x+1/2,y+1/2,-z'
'x+1/2,-y+1/2,z'
loop_
_atom_site_label
_atom_site_fract_x
_atom_site_fract_y
_atom_site_fract_z
Ca1 0.000 0.000 0.000
Ca2 0.159 0.500 0.802
Ca3 0.165 0.500 0.353
Pu1 0.000 0.000 0.500
N1 0.001 0.500 0.275
N2 0.151 0.000 0.571
```

## Properties
* DFT total energy: -132.8 eV/cell
* V: 19.17 Å³ per atom
* DOS(E_F): 0.88 states/eV/atom

=====

Entry 4:
Here is TbYHg after structural relaxation from Alexandria. Energies are from PBE-GGA.

```
data_TbYHg
_chemical_formula_sum 'Tb3 Y3 Hg3'
_symmetry_space_group_name_H-M 'P -6 2 m'
_symmetry_Int_Tables_number 189
_symmetry_space_group_name_Hall 'P -6 -2'
_cell_length_a 7.9610
_cell_length_b 7.9610
_cell_length_c 4.7155
_cell_angle_alpha 90.00
_cell_angle_beta 90.00
_cell_angle_gamma 120.00
loop_
_atom_site_label
_atom_site_fract_x
_atom_site_fract_y
_atom_site_fract_z
Tb1 0.0000 0.7383 0.0000
Y1 0.0000 0.4047 0.5000
Hg1 0.0000 0.0000 0.5000
Hg2 0.3333 0.6667 0.0000
```

## Properties
* energy above the most stable polymorph in this dataset: 0.084 eV per atom
* V: 28.76 Å³ per atom
* DOS(E_F): 1.17 states/eV/atom

=====

Entry 5:
Here is CaThCdCu after structural relaxation from Alexandria. Energies are from PBE-GGA.

```
data_CaThCdCu
_chemical_formula_sum 'Ca4 Th4 Cd4 Cu4'
_symmetry_space_group_name_H-M 'F -4 3 m'
_symmetry_Int_Tables_number 216
_symmetry_space_group_name_Hall 'F -4 2 3'
_cell_length_a 7.423
_cell_length_b 7.423
_cell_length_c 7.423
_cell_angle_alpha 90.00
_cell_angle_beta 90.00
_cell_angle_gamma 90.00
loop_
_atom_site_label
_atom_site_fract_x
_atom_site_fract_y
_atom_site_fract_z
Ca1 0.000 0.000 0.000
Th1 0.000 0.000 0.500
Cd1 0.250 0.250 0.750
Cu1 0.250 0.250 0.250
```

## Properties
* DFT total energy: -58.6 eV/cell
* V: 25.57 Å³ per atom
* DOS(E_F): 0.72 states/eV/atom

=====

Entry 6:
Here is Tb4Pm2Er2Tm after structural relaxation from Alexandria. Energies are from PBE-GGA.

```
data_Tb4Pm2Er2Tm
_chemical_formula_sum 'Tb8 Pm4 Er4 Tm2'
_symmetry_space_group_name_H-M 'C 1 2/m 1'
_symmetry_Int_Tables_number 12
_cell_length_a 18.642
_cell_length_b 3.592
_cell_length_c 9.553
_cell_angle_alpha 90.00
_cell_angle_beta 115.71
_cell_angle_gamma 90.00
loop_
_symmetry_equiv_pos_as_xyz
'x,y,z'
'-x,-y,-z'
'-x,y,-z'
'x,-y,z'
'x+1/2,y+1/2,z'
'-x+1/2,-y+1/2,-z'
'-x+1/2,y+1/2,-z'
'x+1/2,-y+1/2,z'
loop_
_atom_site_label
_atom_site_fract_x
_atom_site_fract_y
_atom_site_fract_z
Tb1 0.018 0.000 0.329
Tb2 0.185 0.500 0.331
Pm1 0.148 0.500 0.667
Er1 0.166 0.000 0.001
Tm1 0.000 0.500 0.000
```

## Properties
* DFT total energy: -83.0 eV/cell
* V: 32.03 Å³ per atom
* DOS(E_F): 1.33 states/eV/atom

=====

Entry 7:
Here is NaTiAg2Te4 after structural relaxation from Alexandria. Energies are from PBE-GGA.

```
data_NaTiAg2Te4
_chemical_formula_sum 'Na2 Ti2 Ag4 Te8'
_symmetry_space_group_name_H-M 'I -4 2 m'
_symmetry_Int_Tables_number 121
_symmetry_space_group_name_Hall 'I -4 2'
_cell_length_a 6.948
_cell_length_b 6.948
_cell_length_c 11.283
_cell_angle_alpha 90.00
_cell_angle_beta 90.00
_cell_angle_gamma 90.00
loop_
_atom_site_label
_atom_site_fract_x
_atom_site_fract_y
_atom_site_fract_z
Na1 0.000 0.000 0.000
Ti1 0.000 0.000 0.500
Ag1 0.000 0.500 0.250
Te1 0.220 0.220 0.631
```

## Properties
* DFT total energy: -60.4 eV/cell
* V: 34.04 Å³ per atom
* DOS(E_F): 0.81 states/eV/atom

=====

Entry 8:
Here is KTl2Hg4 after structural relaxation from Alexandria. Energies are from PBE-GGA.

```
data_KTl2Hg4
_chemical_formula_sum 'K2 Tl4 Hg8'
_symmetry_space_group_name_H-M 'I m m m'
_symmetry_Int_Tables_number 71
_symmetry_space_group_name_Hall '-I 2 2'
_cell_length_a 3.586
_cell_length_b 5.188
_cell_length_c 22.523
_cell_angle_alpha 90.00
_cell_angle_beta 90.00
_cell_angle_gamma 90.00
loop_
_atom_site_label
_atom_site_fract_x
_atom_site_fract_y
_atom_site_fract_z
K1 0.000 0.000 0.000
Tl1 0.000 0.500 0.210
Hg1 0.000 0.000 0.427
Hg2 0.000 0.500 0.353
```

## Properties
* energy above the most stable polymorph in this dataset: 0.000 eV per atom
* V: 29.93 Å³ per atom
* DOS(E_F): 0.39 states/eV/atom

=====

Entry 9:
Here is Sc2Te2Se after structural relaxation from Alexandria. Energies are from PBE-GGA.

```
data_Sc2Te2Se
_chemical_formula_sum 'Sc4 Te4 Se2'
_symmetry_space_group_name_H-M 'P 4/m b m'
_symmetry_Int_Tables_number 127
_symmetry_space_group_name_Hall '-P 4 2ab'
_cell_length_a 7.785
_cell_length_b 7.785
_cell_length_c 3.973
_cell_angle_alpha 90.00
_cell_angle_beta 90.00
_cell_angle_gamma 90.00
loop_
_atom_site_label
_atom_site_fract_x
_atom_site_fract_y
_atom_site_fract_z
Sc1 0.160 0.340 0.000
Te1 0.145 0.645 0.500
Se1 0.000 0.000 0.000
```

## Properties
* energy above the most stable polymorph in this dataset: 0.161 eV per atom
* V: 24.07 Å³ per atom
* DOS(E_F): 0.16 states/eV/atom

=====

Entry 10:
Here is CaPm2Er3Te6 after structural relaxation from Alexandria. Energies are from PBE-GGA.

```
data_CaPm2Er3Te6
_chemical_formula_sum 'Ca2 Pm4 Er6 Te12'
_symmetry_space_group_name_H-M 'C 1 2/m 1'
_symmetry_Int_Tables_number 12
_cell_length_a 19.238
_cell_length_b 4.377
_cell_length_c 8.835
_cell_angle_alpha 90.00
_cell_angle_beta 103.78
_cell_angle_gamma 90.00
loop_
_symmetry_equiv_pos_as_xyz
'x,y,z'
'-x,-y,-z'
'-x,y,-z'
'x,-y,z'
'x+1/2,y+1/2,z'
'-x+1/2,-y+1/2,-z'
'-x+1/2,y+1/2,-z'
'x+1/2,-y+1/2,z'
loop_
_atom_site_label
_atom_site_fract_x
_atom_site_fract_y
_atom_site_fract_z
Ca1 0.000 0.000 0.000
Pm1 0.173 0.500 0.345
Er1 0.000 0.000 0.500
Er2 0.170 0.500 0.828
Te1 0.001 0.500 0.746
Te2 0.161 0.000 0.590
Te3 0.167 0.000 0.075
```

## Properties
* DFT total energy: -120.6 eV/cell
* V: 30.10 Å³ per atom
* DOS(E_F): 0.49 states/eV/atom

=====

Entry 11:
Here is Tb2NdCd after structural relaxation from Alexandria. Energies are from PBE-GGA.

```
data_Tb2NdCd
_chemical_formula_sum 'Tb4 Nd2 Cd2'
_symmetry_space_group_name_H-M 'I m m m'
_symmetry_Int_Tables_number 71
_symmetry_space_group_name_Hall '-I 2 2'
_cell_length_a 3.819
_cell_length_b 5.535
_cell_length_c 11.517
_cell_angle_alpha 90.00
_cell_angle_beta 90.00
_cell_angle_gamma 90.00
loop_
_atom_site_label
_atom_site_fract_x
_atom_site_fract_y
_atom_site_fract_z
Tb1 0.000 0.000 0.224
Nd1 0.000 0.500 0.000
Cd1 0.000 0.500 0.500
```

## Properties
* energy above the most stable polymorph in this dataset: 0.001 eV per atom
* V: 30.43 Å³ per atom
* DOS(E_F): 1.08 states/eV/atom

=====

Entry 12:
Here is CuAsI after structural relaxation from Alexandria. Energies are from PBE-GGA.

```
data_CuAsI
_chemical_formula_sum 'Cu2 As2 I2'
_symmetry_space_group_name_H-M 'P 1 21/m 1'
_symmetry_Int_Tables_number 11
_cell_length_a 6.809
_cell_length_b 3.767
_cell_length_c 7.979
_cell_angle_alpha 90.00
_cell_angle_beta 114.91
_cell_angle_gamma 90.00
loop_
_symmetry_equiv_pos_as_xyz
'x,y,z'
'-x,-y,-z'
'-x,y+1/2,-z'
'x,-y+1/2,z'
loop_
_atom_site_label
_atom_site_fract_x
_atom_site_fract_y
_atom_site_fract_z
Cu1 0.095 0.250 0.134
As1 0.440 0.250 0.395
I1 0.151 0.250 0.827
```

## Properties
* energy above the most stable polymorph in this dataset: 0.010 eV per atom
* V: 30.94 Å³ per atom
* DOS(E_F): 0.30 states/eV/atom